1.
DFT (PBEsol) results for an optimized crystal structure of GaCo3F.

a b c (Å): 3.9124 3.9124 3.9124
angles (deg): 90.00 90.00 90.00
Last column: nearest neighbours and their distance in Å.
Fractional coordinates of all 5 atoms:
1 Ga 0.5000 0.5000 0.5000  12 Co 2.77
2 F 0.0000 0.0000 0.0000  6 Co 1.96
3 Co 0.0000 0.5000 0.0000  2 F 1.96
4 Co 0.5000 0.0000 0.0000  2 F 1.96
5 Co 0.0000 0.0000 0.5000  2 F 1.96

Summary:
Magnetization in μB/cell: 5.03
DFT total energy in eV for the cell shown: -26.72
Volume in Å³ per cell: 59.9
Formation energy from raw total energies in eV/atom: 0.35

2.
DFT (PBEsol) results for an optimized crystal structure of LaInHg2.

a b c (Å): 3.2762 4.9033 6.3061
angles (deg): 90.00 90.00 90.00
Last column: nearest neighbours and their distance in Å.
Fractional coordinates of all 4 atoms:
1 La 0.0000 0.5000 0.5000  2 La 3.28, 8 Hg 3.33, 4 In 3.55
2 Hg 0.4998 0.0000 0.7451  2 In 2.93, 4 Hg 3.09-3.28
3 Hg 0.5002 0.0000 0.2549  2 In 2.93, 4 Hg 3.09-3.28
4 In 0.5000 0.5000 0.0000  4 Hg 2.93, 2 In 3.28

Summary:
Magnetization in μB/cell: 0.00
DFT total energy in eV for the cell shown: -11.08
Energy above the lowest structure with this stoichiometry in meV per atom: 144
Volume in Å³ per cell: 101.3

3.
DFT (PBEsol) results for an optimized crystal structure of Y4CdNi.

a b c (Å): 9.4196 9.4196 9.4196
angles (deg): 60.00 60.00 60.00
Last column: nearest neighbours and their distance in Å.
Fractional coordinates of all 24 atoms:
1 Cd 0.7418 0.4194 0.4194  3 Cd 3.04, 6 Y 3.20-3.36
2 Cd 0.4194 0.4194 0.7418  3 Cd 3.04, 6 Y 3.20-3.36
3 Cd 0.4194 0.7418 0.4194  3 Cd 3.04, 6 Y 3.20-3.36
4 Cd 0.4194 0.4194 0.4194  3 Cd 3.04, 6 Y 3.20-3.36
5 Y 0.4365 0.4365 0.0635  2 Cd 3.20, 2 Ni 3.41, 10 Y 3.41-3.53
6 Y 0.0635 0.4365 0.0635  2 Cd 3.20, 2 Ni 3.41, 10 Y 3.41-3.53
7 Y 0.8107 0.1893 0.1893  2 Ni 2.76
8 Y 0.0635 0.0635 0.4365  2 Cd 3.20, 2 Ni 3.41, 10 Y 3.41-3.53
9 Y 0.6510 0.0470 0.6510  3 Ni 2.75
10 Y 0.0635 0.4365 0.4365  2 Cd 3.20, 2 Ni 3.41, 10 Y 3.41-3.53
11 Y 0.6510 0.6510 0.6510  3 Ni 2.75
12 Y 0.4365 0.0635 0.4365  2 Cd 3.20, 2 Ni 3.41, 10 Y 3.41-3.53
13 Y 0.0470 0.6510 0.6510  3 Ni 2.75
14 Y 0.1893 0.8107 0.8107  2 Ni 2.76
15 Y 0.4365 0.0635 0.0635  2 Cd 3.20, 2 Ni 3.41, 10 Y 3.41-3.53
16 Y 0.1893 0.8107 0.1893  2 Ni 2.76
17 Y 0.6510 0.6510 0.0470  3 Ni 2.75
18 Y 0.1893 0.1893 0.8107  2 Ni 2.76
19 Y 0.8107 0.8107 0.1893  2 Ni 2.76
20 Y 0.8107 0.1893 0.8107  2 Ni 2.76
21 Ni 0.8575 0.4276 0.8575  6 Y 2.75-2.76
22 Ni 0.4276 0.8575 0.8575  6 Y 2.75-2.76
23 Ni 0.8575 0.8575 0.4276  6 Y 2.75-2.76
24 Ni 0.8575 0.8575 0.8575  6 Y 2.75-2.76

Summary:
Magnetization in μB/cell: 0.00
DFT total energy in eV for the cell shown: -146.15
Volume in Å³ per cell: 591.0

4.
DFT (PBEsol) results for an optimized crystal structure of BaZn3Rh.

a b c (Å): 6.4893 6.7372 6.7372
angles (deg): 63.15 61.21 61.21
Last column: nearest neighbours and their distance in Å.
Fractional coordinates of all 10 atoms:
1 Ba 0.7500 0.3375 0.1625  12 Zn 3.44-3.58, 2 Rh 3.75
2 Ba 0.2500 0.6625 0.8375  12 Zn 3.44-3.58, 2 Rh 3.75
3 Zn 0.7031 0.7969 0.2969  2 Rh 2.44
4 Zn 0.7500 0.8294 0.6706  2 Rh 2.43
5 Zn 0.2500 0.1706 0.3293  2 Rh 2.43
6 Zn 0.7969 0.2031 0.7031  2 Rh 2.44
7 Zn 0.2969 0.2031 0.7031  2 Rh 2.44
8 Zn 0.2031 0.7969 0.2969  2 Rh 2.44
9 Rh 0.5000 0.0000 0.0000  6 Zn 2.43-2.44
10 Rh 0.0000 0.5000 0.5000  6 Zn 2.43-2.44

Summary:
Magnetization in μB/cell: 0.00
DFT total energy in eV for the cell shown: -33.05
Energy above the lowest structure with this stoichiometry in meV per atom: 0
Volume in Å³ per cell: 216.8

5.
DFT (PBEsol) results for an optimized crystal structure of ReW3.

a b c (Å): 3.1336 4.4308 5.2009
angles (deg): 115.21 107.53 90.00
Last column: nearest neighbours and their distance in Å.
Fractional coordinates of all 4 atoms:
1 Re 0.0000 0.0000 0.0000  8 W 2.71-2.74
2 W 0.7528 0.2528 0.5055  6 W 2.70-2.71, 2 Re 2.74
3 W 0.5000 0.5000 0.0000  4 W 2.70, 4 Re 2.71
4 W 0.2472 0.7472 0.4945  6 W 2.70-2.71, 2 Re 2.74

Summary:
Magnetization in μB/cell: 0.00
DFT total energy in eV for the cell shown: -54.57
Energy above the lowest structure with this stoichiometry in meV per atom: 14
Volume in Å³ per cell: 61.6

6.
DFT (PBEsol) results for an optimized crystal structure of Sr4TlAg.

a b c (Å): 6.9321 6.9321 6.9321
angles (deg): 60.00 60.00 60.00
Last column: nearest neighbours and their distance in Å.
Fractional coordinates of all 6 atoms:
1 Sr 0.3752 0.3752 0.8744  6 Sr 3.46-3.47
2 Sr 0.3752 0.8744 0.3752  6 Sr 3.46-3.47
3 Sr 0.8744 0.3752 0.3752  6 Sr 3.46-3.47
4 Sr 0.3752 0.3752 0.3752  6 Sr 3.46-3.47
5 Ag 0.0000 0.0000 0.0000  12 Sr 4.06, 4 Tl 4.25
6 Tl 0.7500 0.7500 0.7500  12 Sr 4.06, 4 Ag 4.25

Summary:
Magnetization in μB/cell: 0.00
DFT total energy in eV for the cell shown: -10.57
Volume in Å³ per cell: 235.5

7.
DFT (PBEsol) results for an optimized crystal structure of CsSbBr3.

a b c (Å): 5.7258 5.7258 5.7258
angles (deg): 90.00 90.00 90.00
Last column: nearest neighbours and their distance in Å.
Fractional coordinates of all 5 atoms:
1 Sb 0.0000 0.0000 0.0000  6 Br 2.86
2 Br 0.5000 0.0000 0.0000  2 Sb 2.86
3 Br 0.0000 0.5000 0.0000  2 Sb 2.86
4 Br 0.0000 0.0000 0.5000  2 Sb 2.86
5 Cs 0.5000 0.5000 0.5000  12 Br 4.05

Summary:
Magnetization in μB/cell: 0.00
DFT total energy in eV for the cell shown: -15.95
Volume in Å³ per cell: 187.7
Formation energy from raw total energies in eV/atom: -0.97

8.
DFT (PBEsol) results for an optimized crystal structure of AgHg2Br.

a b c (Å): 3.6474 3.6474 8.4060
angles (deg): 77.47 77.47 60.00
Last column: nearest neighbours and their distance in Å.
Fractional coordinates of all 4 atoms:
1 Br 0.0000 0.0000 0.0000  6 Hg 3.03
2 Ag 0.5000 0.5000 0.5000  6 Hg 2.83
3 Hg 0.7556 0.7556 0.7331  3 Ag 2.83, 3 Br 3.03
4 Hg 0.2444 0.2444 0.2669  3 Ag 2.83, 3 Br 3.03

Summary:
Magnetization in μB/cell: 0.00
DFT total energy in eV for the cell shown: -6.69
Energy above the lowest structure with this stoichiometry in meV per atom: 4
Volume in Å³ per cell: 93.8
Formation energy from raw total energies in eV/atom: -0.09